(1)
# HoTl2Pt | the Alexandria database | PBE | optimized geometry
data_HoTl2Pt
_space_group_name_H-M_alt 'R -3 m'
_space_group_IT_number 166
_space_group_name_Hall '-R 3 2"'
_cell_length_a 3.6073
_cell_length_b 3.6073
_cell_length_c 30.1284
_cell_angle_alpha 90.00
_cell_angle_beta 90.00
_cell_angle_gamma 120.00
loop_
_atom_site_label
_atom_site_type_symbol
_atom_site_fract_x
_atom_site_fract_y
_atom_site_fract_z
Ho1 Ho 0.0000 0.0000 0.0000
Tl1 Tl 0.0000 0.0000 0.1031
Pt1 Pt 0.0000 0.0000 0.5000
# crystal system: trigonal
# total DFT energy (no corrections): -3.70 eV/atom
# ΔH_f (0 K): 0.1428 eV per atom


(2)
# HoTmTlPt | the Alexandria database | PBE | optimized geometry
data_HoTmTlPt
_space_group_name_H-M_alt 'F -4 3 m'
_space_group_IT_number 216
_space_group_name_Hall 'F -4 2 3'
_cell_length_a 7.2224
_cell_length_b 7.2224
_cell_length_c 7.2224
_cell_angle_alpha 90.00
_cell_angle_beta 90.00
_cell_angle_gamma 90.00
loop_
_atom_site_label
_atom_site_type_symbol
_atom_site_fract_x
_atom_site_fract_y
_atom_site_fract_z
Ho1 Ho 0.0000 0.0000 0.0000
Tm1 Tm 0.0000 0.0000 0.5000
Tl1 Tl 0.2500 0.2500 0.7500
Pt1 Pt 0.2500 0.2500 0.2500
# crystal system: cubic
# total DFT energy (no corrections): -5.07 eV/atom
# ΔH_f (0 K): -0.7107 eV per atom


(3)
# YHoTlPt | the Alexandria database | PBE | optimized geometry
data_YHoTlPt
_space_group_name_H-M_alt 'F -4 3 m'
_space_group_IT_number 216
_space_group_name_Hall 'F -4 2 3'
_cell_length_a 7.2741
_cell_length_b 7.2741
_cell_length_c 7.2741
_cell_angle_alpha 90.00
_cell_angle_beta 90.00
_cell_angle_gamma 90.00
loop_
_atom_site_label
_atom_site_type_symbol
_atom_site_fract_x
_atom_site_fract_y
_atom_site_fract_z
Y1 Y 0.0000 0.0000 0.0000
Ho1 Ho 0.0000 0.0000 0.5000
Tl1 Tl 0.2500 0.2500 0.7500
Pt1 Pt 0.2500 0.2500 0.2500
# crystal system: cubic
# total DFT energy (no corrections): -5.57 eV/atom
# ΔH_f (0 K): -0.7039 eV per atom


(4)
# HoTmPt2 | the Alexandria database | PBE | optimized geometry
data_HoTmPt2
_space_group_name_H-M_alt 'P 4/m m m'
_space_group_IT_number 123
_space_group_name_Hall '-P 4 2'
_cell_length_a 4.9147
_cell_length_b 4.9147
_cell_length_c 3.4375
_cell_angle_alpha 90.00
_cell_angle_beta 90.00
_cell_angle_gamma 90.00
loop_
_atom_site_label
_atom_site_type_symbol
_atom_site_fract_x
_atom_site_fract_y
_atom_site_fract_z
Ho1 Ho 0.0000 0.0000 0.0000
Tm1 Tm 0.5000 0.5000 0.0000
Pt1 Pt 0.0000 0.5000 0.5000
# crystal system: tetragonal
# total DFT energy (no corrections): -6.55 eV/atom
# energy above the lowest structure with this stoichiometry: 45.0 meV per atom
# ΔH_f (0 K): -1.2650 eV per atom


(5)
# Ho3TmPt | the Alexandria database | PBE | optimized geometry
data_Ho3TmPt
_space_group_name_H-M_alt 'P 1 21/m 1'
_space_group_IT_number 11
_space_group_name_Hall '-P 2yb'
_cell_length_a 6.3314
_cell_length_b 5.0954
_cell_length_c 8.7085
_cell_angle_alpha 90.00
_cell_angle_beta 97.32
_cell_angle_gamma 90.00
loop_
_atom_site_label
_atom_site_type_symbol
_atom_site_fract_x
_atom_site_fract_y
_atom_site_fract_z
Ho1 Ho 0.1756 0.2500 0.0203
Ho2 Ho 0.2152 0.2500 0.4417
Ho3 Ho 0.2755 0.7500 0.7633
Tm1 Tm 0.3872 0.7500 0.2112
Pt1 Pt 0.0307 0.2500 0.7103
# crystal system: monoclinic
# total DFT energy (no corrections): -5.33 eV/atom
# ΔH_f (0 K): -0.4834 eV per atom


(6)
# Ho2Tm2Pt3 | the Alexandria database | PBE | optimized geometry
data_Ho2Tm2Pt3
_space_group_name_H-M_alt 'I 21 3'
_space_group_IT_number 199
_space_group_name_Hall 'I 2b 2c 3'
_cell_length_a 8.6494
_cell_length_b 8.6494
_cell_length_c 8.6494
_cell_angle_alpha 90.00
_cell_angle_beta 90.00
_cell_angle_gamma 90.00
loop_
_atom_site_label
_atom_site_type_symbol
_atom_site_fract_x
_atom_site_fract_y
_atom_site_fract_z
Ho1 Ho 0.1857 0.1857 0.1857
Tm1 Tm 0.0641 0.4359 0.5641
Pt1 Pt 0.0000 0.2500 0.8723
# crystal system: cubic
# total DFT energy (no corrections): -6.32 eV/atom
# ΔH_f (0 K): -1.1477 eV per atom


(7)
# HoTmPt | the Alexandria database | PBE | optimized geometry
data_HoTmPt
_space_group_name_H-M_alt 'F -4 3 m'
_space_group_IT_number 216
_space_group_name_Hall 'F -4 2 3'
_cell_length_a 6.8102
_cell_length_b 6.8102
_cell_length_c 6.8102
_cell_angle_alpha 90.00
_cell_angle_beta 90.00
_cell_angle_gamma 90.00
loop_
_atom_site_label
_atom_site_type_symbol
_atom_site_fract_x
_atom_site_fract_y
_atom_site_fract_z
Ho1 Ho 0.0000 0.0000 0.0000
Tm1 Tm 0.0000 0.0000 0.5000
Pt1 Pt 0.2500 0.2500 0.7500
# crystal system: cubic
# total DFT energy (no corrections): -5.94 eV/atom
# energy above the lowest structure with this stoichiometry: 0.0 meV per atom
# ΔH_f (0 K): -0.9100 eV per atom


(8)
# Ho2Tm3Pt4 | the Alexandria database | PBE | optimized geometry
data_Ho2Tm3Pt4
_space_group_name_H-M_alt 'C m c e'
_space_group_IT_number 64
_space_group_name_Hall '-C 2ac 2'
_cell_length_a 6.7663
_cell_length_b 16.4716
_cell_length_c 7.5236
_cell_angle_alpha 90.00
_cell_angle_beta 90.00
_cell_angle_gamma 90.00
loop_
_atom_site_label
_atom_site_type_symbol
_atom_site_fract_x
_atom_site_fract_y
_atom_site_fract_z
Ho1 Ho 0.0000 0.0921 0.0981
Tm1 Tm 0.0000 0.0000 0.5000
Tm2 Tm 0.2500 0.2242 0.7500
Pt1 Pt 0.0000 0.1746 0.4477
Pt2 Pt 0.2500 0.0520 0.7500
# crystal system: orthorhombic
# total DFT energy (no corrections): -6.25 eV/atom
# energy above the lowest structure with this stoichiometry: 168.9 meV per atom
# ΔH_f (0 K): -1.0547 eV per atom


(9)
# Ho2TmPt | the Alexandria database | PBE | optimized geometry
data_Ho2TmPt
_space_group_name_H-M_alt 'P n m a'
_space_group_IT_number 62
_space_group_name_Hall '-P 2ac 2n'
_cell_length_a 6.9753
_cell_length_b 9.4870
_cell_length_c 6.4618
_cell_angle_alpha 90.00
_cell_angle_beta 90.00
_cell_angle_gamma 90.00
loop_
_atom_site_label
_atom_site_type_symbol
_atom_site_fract_x
_atom_site_fract_y
_atom_site_fract_z
Ho1 Ho 0.1824 0.0601 0.1814
Tm1 Tm 0.0263 0.2500 0.6287
Pt1 Pt 0.1087 0.7500 0.9559
# crystal system: orthorhombic
# total DFT energy (no corrections): -5.65 eV/atom
# energy above the lowest structure with this stoichiometry: 0.0 meV per atom
# ΔH_f (0 K): -0.7342 eV per atom


(10)
# Ho2Tm3Pt4 | the Alexandria database | PBE | optimized geometry
data_Ho2Tm3Pt4
_space_group_name_H-M_alt 'P 1 21/c 1'
_space_group_IT_number 14
_space_group_name_Hall '-P 2ybc'
_cell_length_a 7.5923
_cell_length_b 7.6466
_cell_length_c 7.4490
_cell_angle_alpha 90.00
_cell_angle_beta 109.99
_cell_angle_gamma 90.00
loop_
_atom_site_label
_atom_site_type_symbol
_atom_site_fract_x
_atom_site_fract_y
_atom_site_fract_z
Ho1 Ho 0.1925 0.1792 0.0704
Tm1 Tm 0.2442 0.6666 0.2455
Tm2 Tm 0.5000 0.0000 0.5000
Pt1 Pt 0.0854 0.5358 0.8482
Pt2 Pt 0.4882 0.1367 0.8666
# crystal system: monoclinic
# total DFT energy (no corrections): -6.42 eV/atom
# energy above the lowest structure with this stoichiometry: 0.0 meV per atom
# ΔH_f (0 K): -1.2236 eV per atom


(11)
# HoTmPt2 | the Alexandria database | PBE | optimized geometry
data_HoTmPt2
_space_group_name_H-M_alt 'R -3 m'
_space_group_IT_number 166
_space_group_name_Hall '-R 3 2"'
_cell_length_a 4.0304
_cell_length_b 4.0304
_cell_length_c 19.8033
_cell_angle_alpha 90.00
_cell_angle_beta 90.00
_cell_angle_gamma 120.00
loop_
_atom_site_label
_atom_site_type_symbol
_atom_site_fract_x
_atom_site_fract_y
_atom_site_fract_z
Ho1 Ho 0.0000 0.0000 0.0000
Tm1 Tm 0.0000 0.0000 0.5000
Pt1 Pt 0.0000 0.0000 0.2489
# crystal system: trigonal
# total DFT energy (no corrections): -6.43 eV/atom
# energy above the lowest structure with this stoichiometry: 160.7 meV per atom
# ΔH_f (0 K): -1.1494 eV per atom


(12)
# HoTmPt | the Alexandria database | PBE | optimized geometry
data_HoTmPt
_space_group_name_H-M_alt 'I 41 m d'
_space_group_IT_number 109
_space_group_name_Hall 'I 4bw -2'
_cell_length_a 3.9727
_cell_length_b 3.9727
_cell_length_c 20.3287
_cell_angle_alpha 90.00
_cell_angle_beta 90.00
_cell_angle_gamma 90.00
loop_
_atom_site_label
_atom_site_type_symbol
_atom_site_fract_x
_atom_site_fract_y
_atom_site_fract_z
Ho1 Ho 0.0000 0.0000 0.0000
Tm1 Tm 0.0000 0.0000 0.3886
Pt1 Pt 0.0000 0.0000 0.5330
# crystal system: tetragonal
# total DFT energy (no corrections): -5.82 eV/atom
# energy above the lowest structure with this stoichiometry: 123.8 meV per atom
# ΔH_f (0 K): -0.7862 eV per atom